A geometry-optimized NdSmCl structure. Source: Alexandria via LeMat-Bulk, functional PBE-GGA.

energy relative to the elements, uncorrected	-0.8374	eV per atom
polymorph energy (0 for the lowest one)	0.065	eV/atom
volume	29.77	Å³/atom
DOS(E_F)	12.04	states/eV per cell
theoretical density	6.1	g/cm3

Cell and atoms, written as POSCAR:
```
NdSmCl
1.0
5.8099 0.0000 0.0000
2.9049 9.5538 -0.6965
2.9049 0.9508 9.5853
Nd Cl Sm
6 6 6
Direct
0.4364 0.6078 0.0446 Nd
0.6658 0.2658 0.8969 Nd
0.1715 0.7658 0.3969 Nd
0.9112 0.1078 0.5446 Nd
0.5648 0.9543 0.3921 Nd
0.0887 0.4543 0.8921 Nd
0.8446 0.3470 0.3680 Cl
0.4404 0.8470 0.8680 Cl
0.9985 0.8532 0.1454 Cl
0.0028 0.3532 0.6454 Cl
0.5569 0.1322 0.1551 Cl
0.1558 0.6322 0.6551 Cl
0.9446 0.8428 0.8560 Sm
0.3342 0.1024 0.7340 Sm
0.8294 0.6024 0.2340 Sm
0.0538 0.1445 0.1579 Sm
0.6438 0.6445 0.6579 Sm
0.3566 0.3428 0.3560 Sm
```